DFT (PBE) results for crystalline PmB6N6 at its relaxed geometry.

Values from the calculation:
Final energy, eV/atom: -7.488
Space-group type: Pm-3

Cell lengths 4.683, 4.683, 4.683 Å; angles 90.00, 90.00, 90.00 degrees
Positions (direct):
N1 0.500 0.000 0.250
B1 0.500 0.261 0.000
B2 0.261 0.000 0.500
B3 0.500 0.739 0.000
B4 0.000 0.500 0.261
B5 0.739 0.000 0.500
Pm1 0.500 0.500 0.500
N2 0.250 0.500 0.000
N3 0.750 0.500 0.000
B6 0.000 0.500 0.739
N4 0.000 0.750 0.500
N5 0.000 0.250 0.500
N6 0.500 0.000 0.750